VFeBr6: relaxed, GGA-PBE.

Values from the calculation:
N(E_F)   22.5 states/eV per cell
E_form (uncorrected)   -0.510 eV per atom

abc: 8.320 8.320 9.653
angles: 125.19 125.19 70.18
Fractional positions:
V1 0.000 0.500 0.000
V2 0.500 0.000 0.000
Fe1 0.000 0.500 0.500
Fe2 0.500 0.000 0.500
Br1 0.012 0.375 0.189
Br2 0.188 0.802 0.312
Br3 0.198 0.812 0.688
Br4 0.313 0.313 0.621
Br5 0.322 0.322 0.012
Br6 0.375 0.012 0.189
Br7 0.625 0.988 0.811
Br8 0.678 0.678 0.988
Br9 0.687 0.687 0.379
Br10 0.802 0.188 0.312
Br11 0.812 0.198 0.688
Br12 0.988 0.625 0.811


ZnAsCl2: relaxed, GGA-PBE.

Values from the calculation:
N(E_F)   0.7 states/eV per cell
Relative energy among the computed polymorphs   16.63 kJ/mol of atoms
E_form (uncorrected)   -0.254 eV per atom

abc: 7.966 7.966 4.184
angles: 93.72 93.72 23.79
Fractional positions:
Zn1 0.000 0.000 0.000
As1 0.500 0.500 0.500
Cl1 0.362 0.362 0.188
Cl2 0.638 0.638 0.812


Tb3NdDy8: relaxed, GGA-PBE.

Values from the calculation:
Formation energy from the elements   0.741 eV/atom
N(E_F)   15.5 states/eV per cell

abc: 9.432 9.432 9.432
angles: 131.84 131.84 70.48
Fractional positions:
Tb1 0.000 0.000 0.000
Tb2 0.250 0.750 0.500
Tb3 0.750 0.250 0.500
Nd1 0.500 0.500 0.000
Dy1 0.123 0.123 0.497
Dy2 0.123 0.626 0.000
Dy3 0.374 0.374 0.497
Dy4 0.374 0.877 0.000
Dy5 0.626 0.123 0.000
Dy6 0.626 0.626 0.503
Dy7 0.877 0.374 0.000
Dy8 0.877 0.877 0.503


no.,calculated total energy (eV per atom)
1,-3.962
2,-2.658
3,-3.882